ScNi2MoO6: optimized geometry, PBE+U.

Cell: 4.610 5.491 5.491 Å, 90.00 90.00 90.00°
Site moments in Bohr magnetons follow the coordinates.
Positions (direct):
Ni: 0.902 0.000 0.500  1.76
Ni: 0.902 0.500 0.000  1.76
O: 0.753 0.759 0.241  0.08
O: 0.753 0.759 0.759  0.08
O: 0.227 0.000 0.000  0.06
O: 0.753 0.241 0.241  0.08
O: 0.198 0.500 0.500  0.09
O: 0.753 0.241 0.759  0.08
Sc: 0.601 0.500 0.500  0.00
Mo: 0.602 0.000 0.000  -1.00

Properties
- M_tot (μB per formula unit) = 3.1
- energy (eV per atom) = -6.37